Entry from the Alexandria database: Tb12PmTh5 after structural relaxation (PBE-GGA). Values from VASP.

Geometry as Quantum ESPRESSO input:
```
&SYSTEM
  ibrav = 0, nat = 18, ntyp = 3
/
ATOMIC_SPECIES
Tb 158.93 Tb.upf
Th 232.04 Th.upf
Pm 145.00 Pm.upf
ATOMIC_POSITIONS angstrom
Tb 8.927 5.339 2.535
Tb 3.573 6.163 -0.415
Tb 3.610 -0.001 -0.014
Tb 12.428 7.579 5.302
Tb 7.110 2.239 2.753
Tb 8.937 1.418 5.717
Tb 7.101 6.160 -0.429
Tb 12.444 5.338 2.520
Tb 3.594 2.240 2.768
Tb 1.784 -0.850 2.973
Tb 14.254 8.428 2.315
Tb 12.465 1.416 5.704
Th 10.698 4.491 5.506
Th 5.349 -0.853 2.958
Th 10.689 2.258 2.779
Th 5.349 5.321 2.509
Th 5.340 3.087 -0.218
Pm 0.000 0.000 0.000
CELL_PARAMETERS angstrom
10.675 -0.004 -0.044
5.339 9.283 -0.628
0.024 -1.701 5.961
```

Properties
As for the total magnetization: 0.0000 μB/atom. The value obtained for the formation energy from the elements is 0.047 eV per atom.